No. 1
# RbYCo2

An optimized crystal structure of RbYCo2 (PBE, Alexandria via LeMat-Bulk).

Cell: 4.9799 4.9799 9.8545 Å, 75.36 75.36 90.00°
With the nearest neighbours (Å) after each atom.
Element x y z (fractional)
Co: 0.8752 0.1250 0.2500  2 Co 2.49, 2 Y 2.62
Co: 0.8748 0.6250 0.2500  2 Co 2.49, 2 Y 2.62
Co: 0.3750 0.1248 0.7500  2 Co 2.49, 2 Y 2.62
Co: 0.8750 0.1252 0.7500  2 Co 2.49, 2 Y 2.62
Y: 0.7500 0.2500 0.5000  4 Co 2.62
Y: 0.0000 0.0000 0.0000  4 Co 2.62
Rb: 0.5000 0.5000 0.0000  4 Y 3.52, 8 Co 3.61
Rb: 0.2500 0.7500 0.5000  4 Y 3.52, 8 Co 3.61

E above lowest polymorph   0.0 meV per atom
Calculated total energy   -4.43 eV per atom
Space group   I4_1/amd

***

No. 2
# SrCu2PdN

An optimized crystal structure of SrCu2PdN (PBE, Alexandria via LeMat-Bulk).

Cell: 5.7270 5.4069 5.7270 Å, 90.00 90.00 90.00°
With the nearest neighbours (Å) after each atom.
Element x y z (fractional)
Cu: 0.5000 0.0000 0.0000  2 Sr 2.86
Cu: 0.0000 0.0000 0.5000  2 Sr 2.86
Sr: 0.0000 0.0000 0.0000  2 Pd 2.70, 4 Cu 2.86
N: 0.5000 0.5000 0.5000  8 Cu 3.94, 4 Pd 4.05
Pd: 0.0000 0.5000 0.0000  2 Sr 2.70

Calculated total energy   -2.51 eV per atom
Space group   P4/mmm

***

No. 3
# YNbTcOs

An optimized crystal structure of YNbTcOs (PBE, Alexandria via LeMat-Bulk).

Cell: 4.6518 4.6518 4.6518 Å, 60.00 60.00 60.00°
With the nearest neighbours (Å) after each atom.
Element x y z (fractional)
Y: 0.5000 0.5000 0.5000  4 Tc 2.85, 4 Os 2.85
Os: 0.2500 0.2500 0.2500  4 Y 2.85, 4 Nb 2.85
Nb: 0.0000 0.0000 0.0000  4 Os 2.85, 4 Tc 2.85
Tc: 0.7500 0.7500 0.7500  4 Nb 2.85, 4 Y 2.85

Calculated total energy   -9.62 eV per atom
Space group   F-43m

***

No. 4
# TlHgPb2

An optimized crystal structure of TlHgPb2 (PBE, Alexandria via LeMat-Bulk).

Cell: 4.6165 4.6165 6.2039 Å, 90.00 90.00 90.00°
With the nearest neighbours (Å) after each atom.
Element x y z (fractional)
Hg: 0.0000 0.0000 0.6240  2 Pb 3.10, 4 Tl 3.26
Pb: 0.0000 0.0000 0.1238  2 Hg 3.10, 4 Pb 3.26
Pb: 0.5000 0.5000 0.1261  2 Tl 3.10, 4 Pb 3.26
Tl: 0.5000 0.5000 0.6261  2 Pb 3.10, 4 Hg 3.26

Calculated total energy   -2.40 eV per atom
Space group   P4mm

***

No. 5
# In2Ge2Au

An optimized crystal structure of In2Ge2Au (PBE, Alexandria via LeMat-Bulk).

Cell: 7.5006 7.5006 4.2247 Å, 90.00 90.00 90.00°
With the nearest neighbours (Å) after each atom.
Element x y z (fractional)
Au: 0.0000 0.0000 0.0000  4 In 2.78
Au: 0.5000 0.5000 0.0000  4 In 2.78
In: 0.8293 0.6707 0.0000  2 Au 2.78, 6 Ge 3.05-3.07
In: 0.6707 0.1707 0.0000  2 Au 2.78, 6 Ge 3.05-3.07
In: 0.3293 0.8293 0.0000  2 Au 2.78, 6 Ge 3.05-3.07
In: 0.1707 0.3293 0.0000  2 Au 2.78, 6 Ge 3.05-3.07
Ge: 0.6218 0.8782 0.5000  1 Ge 2.58
Ge: 0.1218 0.6218 0.5000  1 Ge 2.58
Ge: 0.3782 0.1218 0.5000  1 Ge 2.58
Ge: 0.8782 0.3782 0.5000  1 Ge 2.58

E above lowest polymorph   108.3 meV per atom
Calculated total energy   -3.42 eV per atom
Space group   P4/mbm

***

No. 6
# K2GaHgSb

An optimized crystal structure of K2GaHgSb (PBE, Alexandria via LeMat-Bulk).

Cell: 6.5329 5.3223 6.5329 Å, 90.00 90.00 90.00°
With the nearest neighbours (Å) after each atom.
Element x y z (fractional)
Hg: 0.5000 0.5000 0.5000  8 K 4.21, 4 Sb 4.62
Ga: 0.0000 0.0000 0.0000  2 Sb 2.66
K: 0.0000 0.0000 0.5000  2 Ga 3.27
K: 0.5000 0.0000 0.0000  2 Ga 3.27
Sb: 0.0000 0.5000 0.0000  2 Ga 2.66

Calculated total energy   -2.01 eV per atom
Space group   P4/mmm

***

No. 7
# AcAlAsO2

An optimized crystal structure of AcAlAsO2 (PBE, Alexandria via LeMat-Bulk).

Cell: 5.3280 5.7878 7.0463 Å, 114.25 90.00 90.00°
With the nearest neighbours (Å) after each atom.
Element x y z (fractional)
O: 0.0000 0.2191 0.0000  2 Al 1.85
O: 0.0000 0.7809 0.0000  2 Al 1.85
O: 0.5000 0.2191 0.0000  2 Al 1.85
O: 0.5000 0.7809 0.0000  2 Al 1.85
As: 0.7500 0.7684 0.5367  1 Al 2.76
As: 0.2500 0.2316 0.4633  1 Al 2.76
Ac: 0.7500 0.3799 0.7598  4 O 2.61
Ac: 0.2500 0.6201 0.2402  4 O 2.61
Al: 0.2500 0.0170 0.0341  4 O 1.85
Al: 0.7500 0.9830 0.9659  4 O 1.85

Calculated total energy   -6.69 eV per atom
Space group   Cmcm

***

No. 8
# NaErO2

An optimized crystal structure of NaErO2 (PBE, Alexandria via LeMat-Bulk).

Cell: 3.3650 3.3650 6.1362 Å, 74.09 74.09 60.00°
With the nearest neighbours (Å) after each atom.
Element x y z (fractional)
O: 0.0701 0.0701 0.7896  3 Er 2.29, 3 Na 2.51
O: 0.2678 0.2678 0.1966  3 Er 2.26
Er: 0.6677 0.6677 0.9968  6 O 2.26-2.29
Na: 0.4944 0.4944 0.5169  6 O 2.51-2.69

Calculated total energy   -6.72 eV per atom
Space group   R3m

***

No. 9
# Nd2SmScP4

An optimized crystal structure of Nd2SmScP4 (PBE, Alexandria via LeMat-Bulk).

Cell: 4.0643 7.0235 7.0198 Å, 109.48 90.00 90.00°
With the nearest neighbours (Å) after each atom.
Element x y z (fractional)
P: 0.0000 0.7556 0.2395  1 Sc 2.77, 2 Sm 2.86, 3 Nd 2.89-2.96
P: 0.5000 0.2354 0.2330  2 Sc 2.78, 1 Sm 2.86, 3 Nd 2.88-2.96
P: 0.0000 0.2444 0.7605  1 Sc 2.77, 2 Sm 2.86, 3 Nd 2.89-2.96
P: 0.5000 0.7646 0.7670  2 Sc 2.78, 1 Sm 2.86, 3 Nd 2.88-2.96
Nd: 0.5000 0.0000 0.5000  6 P 2.88-2.89
Nd: 0.0000 0.5000 0.5000  6 P 2.96
Sc: 0.0000 0.0000 0.0000  6 P 2.77-2.78
Sm: 0.5000 0.5000 0.0000  6 P 2.86

Calculated total energy   -6.77 eV per atom
Space group   P2/m

***

No. 10
# NaBi2Pb2

An optimized crystal structure of NaBi2Pb2 (PBE, Alexandria via LeMat-Bulk).

Cell: 9.0082 9.0082 4.1721 Å, 90.00 90.00 90.00°
With the nearest neighbours (Å) after each atom.
Element x y z (fractional)
Bi: 0.1474 0.3526 0.0000  6 Pb 3.35-3.39, 2 Na 3.44
Bi: 0.6474 0.1474 0.0000  6 Pb 3.35-3.39, 2 Na 3.44
Bi: 0.8526 0.6474 0.0000  6 Pb 3.35-3.39, 2 Na 3.44
Bi: 0.3526 0.8526 0.0000  6 Pb 3.35-3.39, 2 Na 3.44
Pb: 0.3572 0.1428 0.5000  6 Bi 3.35-3.39, 1 Pb 3.64
Pb: 0.1428 0.6428 0.5000  6 Bi 3.35-3.39, 1 Pb 3.64
Pb: 0.6428 0.8572 0.5000  6 Bi 3.35-3.39, 1 Pb 3.64
Pb: 0.8572 0.3572 0.5000  6 Bi 3.35-3.39, 1 Pb 3.64
Na: 0.0000 0.0000 0.0000  4 Bi 3.44
Na: 0.5000 0.5000 0.0000  4 Bi 3.44

E above lowest polymorph   45.5 meV per atom
Calculated total energy   -3.35 eV per atom
Space group   P4/mbm

***

No. 11
# BaHoPt

An optimized crystal structure of BaHoPt (PBE, Alexandria via LeMat-Bulk).

Cell: 4.9770 4.9770 7.6411 Å, 90.00 90.00 90.00°
With the nearest neighbours (Å) after each atom.
Element x y z (fractional)
Ba: 0.0000 0.5000 0.8777  1 Pt 3.35
Ba: 0.5000 0.0000 0.1223  1 Pt 3.35
Pt: 0.5000 0.0000 0.6844  4 Ho 2.86
Pt: 0.0000 0.5000 0.3156  4 Ho 2.86
Ho: 0.0000 0.0000 0.5000  4 Pt 2.86
Ho: 0.5000 0.5000 0.5000  4 Pt 2.86

E above lowest polymorph   0.0 meV per atom
Calculated total energy   -4.98 eV per atom
Space group   P4/nmm

***

No. 12
# Na2Ca2Mn

An optimized crystal structure of Na2Ca2Mn (PBE, Alexandria via LeMat-Bulk).

Cell: 3.8570 3.8570 10.4374 Å, 79.35 79.35 90.00°
With the nearest neighbours (Å) after each atom.
Element x y z (fractional)
Ca: 0.5837 0.5837 0.8325  4 Mn 3.21, 1 Ca 3.37
Ca: 0.4163 0.4163 0.1675  4 Mn 3.21, 1 Ca 3.37
Na: 0.7500 0.2500 0.5000  4 Na 2.73
Na: 0.2500 0.7500 0.5000  4 Na 2.73
Mn: 0.0000 0.0000 0.0000  8 Ca 3.21

E above lowest polymorph   247.8 meV per atom
Calculated total energy   -2.41 eV per atom
Space group   I4/mmm

***

Number 1: V 228.25 Å³/cell. Number 2: V 177.34 Å³/cell. Number 3: V 71.18 Å³/cell. Number 4: V 132.22 Å³/cell. Number 5: V 237.67 Å³/cell. Number 6: V 227.15 Å³/cell. Number 7: V 198.12 Å³/cell. Number 8: V 57.08 Å³/cell. Number 9: V 188.91 Å³/cell. Number 10: V 338.55 Å³/cell. Number 11: V 189.27 Å³/cell. Number 12: V 149.88 Å³/cell.